Crystalline LaFeN2F at its relaxed geometry, computed with PBE with a Hubbard U.

```
LaFeN2F
1.0
4.471 0.000 0.000
0.000 4.471 0.000
0.000 0.000 4.546
F Fe La N
1 1 1 2
Direct
0.000 0.000 0.500
0.500 0.500 0.500
0.000 0.000 0.000
0.000 0.500 0.000
0.500 0.000 0.000
```

For the final energy, the calculation gives -5.7210 eV/atom. The calculation puts the theoretical density at 4.42 g/cm3.